1.
Material: TlSbTe2Au
Method: DFT, GGA-PBEsol
State: relaxed

Results
**Formation energy (no corrections)**: 1.1334 eV/atom
**Space group**: P4/mmm (123)
**Crystal system**: tetragonal

a = 5.5828 Å, b = 5.5890 Å, c = 5.5890 Å
α = 90.00°, β = 90.00°, γ = 90.00°
Closest atoms and distances in Å follow each position.
Element x y z (fractional)
Te1 0.0000 0.0000 0.5000  2 Tl 2.79
Te2 0.0000 0.5000 0.0000  2 Tl 2.79
Sb1 0.5000 0.0000 0.0000  2 Tl 2.79
Au1 0.5000 0.5000 0.5000  8 Te 3.95, 4 Sb 3.95
Tl1 0.0000 0.0000 0.0000  2 Sb 2.79, 4 Te 2.79

---

2.
Material: Sb2TeWAu
Method: DFT, GGA-PBEsol
State: relaxed

Results
**Formation energy (no corrections)**: 0.7992 eV/atom
**Space group**: P4/mmm (123)
**Crystal system**: tetragonal

a = 5.1136 Å, b = 5.1895 Å, c = 5.1895 Å
α = 90.00°, β = 90.00°, γ = 90.00°
Closest atoms and distances in Å follow each position.
Element x y z (fractional)
Sb1 0.0000 0.5000 0.0000  2 W 2.59
Sb2 0.0000 0.0000 0.5000  2 W 2.59
Te1 0.5000 0.0000 0.0000  2 W 2.56
W1 0.0000 0.0000 0.0000  2 Te 2.56, 4 Sb 2.59
Au1 0.5000 0.5000 0.5000  8 Sb 3.64, 4 Te 3.67

---

3.
Material: ZrSbTe2Au
Method: DFT, GGA-PBEsol
State: relaxed

Results
**Formation energy (no corrections)**: 0.3936 eV/atom
**Space group**: P4/mmm (123)
**Crystal system**: tetragonal

a = 5.4101 Å, b = 5.4101 Å, c = 5.4995 Å
α = 90.00°, β = 90.00°, γ = 90.00°
Closest atoms and distances in Å follow each position.
Element x y z (fractional)
Au1 0.5000 0.5000 0.5000  4 Sb 3.83, 8 Te 3.86
Zr1 0.0000 0.0000 0.0000  4 Te 2.71, 2 Sb 2.75
Te1 0.5000 0.0000 0.0000  2 Zr 2.71
Te2 0.0000 0.5000 0.0000  2 Zr 2.71
Sb1 0.0000 0.0000 0.5000  2 Zr 2.75

---

| no. | final energy (eV per atom) | magnetization (μB/f.u.) |
| --- | --- | --- |
| 1 | -2.50 | 0.002 |
| 2 | -5.28 | 0.000 |
| 3 | -4.53 | 0.000 |